Entry a
Ca2CrBr (PBE, optimized geometry); total magnetic moment = 5.15 μB per cell
1.0
-5.1440 -1.1140 -2.5530
-0.9426 -2.2393 2.8764
-2.3700 4.5685 2.7817
Cr Ca Br
1 2 1
Direct
0.0000 0.5075 0.3748
0.0000 0.0097 0.8748
0.5000 0.0061 0.3752
0.5000 0.9767 0.8752

***

Entry b
Ca2CrBr (PBE, optimized geometry); total magnetic moment = 4.92 μB per cell
1.0
-1.3697 -5.5441 -3.8073
4.2778 -5.3249 -0.6733
-3.6865 4.0589 4.1283
Ca Cr Br
2 1 1
Direct
0.7480 0.2480 0.5000
0.0274 0.0274 0.0000
0.4891 0.4891 0.0000
0.2356 0.7356 0.5000

***

Short version: entry a is the most stable of them.

***

Entry a
Ca2CrBr (PBE, optimized geometry); total magnetic moment = 4.69 μB per cell
1.0
-1.0800 3.6779 -4.1886
2.2296 -4.1751 -3.1361
-3.2387 -1.4201 -0.4119
Br Ca Cr
1 2 1
Direct
0.0000 0.5000 0.5000
0.0000 0.0000 0.0000
0.5000 0.5000 0.0000
0.5000 0.0000 0.5000

***

Entry b
Ca2CrBr (PBE, optimized geometry); total magnetic moment = 4.82 μB per cell
1.0
6.9593 -0.0014 0.0000
4.1701 5.5715 0.0000
-5.5647 -2.7851 3.1160
Ca Cr Br
2 1 1
Direct
0.2500 0.7500 0.5000
0.0000 0.0000 0.0000
0.5000 0.5000 0.0000
0.7500 0.2500 0.5000

***

Entry c
Ca2CrBr (PBE, optimized geometry); total magnetic moment = 4.16 μB per cell
1.0
-0.0487 -3.3342 -1.5733
2.8057 0.9867 -2.1792
5.3477 -2.7412 5.6438
Ca Br Cr
2 1 1
Direct
0.0000 0.0000 0.0186
0.0000 0.0000 0.4814
0.5000 0.5000 0.7500
0.5000 0.5000 0.2500

***

Short version: entry c is the most stable of them.

***

Entry a
Ca2CrBr (PBE, optimized geometry); total magnetic moment = 4.91 μB per cell
1.0
-3.6020 -2.6503 3.2438
-5.2662 -0.5361 -1.5812
-1.9441 -4.9494 -1.4981
Cr Ca Br
1 2 1
Direct
0.0000 0.0000 0.0000
0.2500 0.2500 0.2500
0.7500 0.7500 0.7500
0.5000 0.5000 0.5000

***

Entry b
Ca2CrBr (PBE, optimized geometry); total magnetic moment = 4.60 μB per cell
1.0
3.7204 0.0000 0.0000
0.0000 3.9380 -0.2298
0.0000 0.5812 8.5656
Cr Br Ca
1 1 2
Direct
0.5000 0.2500 0.2500
0.5000 0.7500 0.7500
0.0000 0.7542 0.0280
0.0000 0.7458 0.4720

***

Entry c
Ca2CrBr (PBE, optimized geometry); total magnetic moment = 4.70 μB per cell
1.0
-3.7052 0.6366 -0.9917
-1.0426 -0.0692 -3.7451
-3.2793 -8.6042 -0.9656
Cr Ca Br
1 2 1
Direct
0.7500 0.7500 0.7500
0.5006 0.5006 0.4994
0.9994 0.9994 0.0006
0.2500 0.2500 0.2500

***

Short version: entry b is the most stable of them.

***

Entry a
Cs2CaCrBr6 (PBE, optimized geometry); total magnetic moment = 4.00 μB per cell
1.0
-5.3532 -2.3916 -3.6547
4.3142 -6.1717 -2.2806
-4.3008 -0.4209 6.5749
Br Cs Ca Cr
6 2 1 1
Direct
0.7717 0.1603 0.8397
0.7717 0.1603 0.3207
0.2283 0.8397 0.1603
0.2283 0.3207 0.1603
0.2283 0.8397 0.6793
0.7717 0.6793 0.8397
0.7831 0.6667 0.3333
0.2169 0.3333 0.6667
0.5000 0.0000 0.0000
0.0000 0.0000 0.0000

***

Entry b
Cs2CaCrBr6 (PBE, optimized geometry); total magnetic moment = 4.00 μB per cell
1.0
-1.5757 7.6715 0.9169
-2.1890 0.4542 -7.5616
-7.1197 2.8148 -1.8811
Br Cs Ca Cr
6 2 1 1
Direct
0.7599 0.7599 0.0000
0.2400 0.2400 0.5201
0.7600 0.7600 0.4799
0.2401 0.7599 0.0000
0.7599 0.2401 0.0000
0.2401 0.2401 0.0000
0.2500 0.7500 0.5000
0.7500 0.2500 0.5000
0.5000 0.5000 0.0000
0.0000 0.0000 0.0000

***

Short version: entry a is the most stable of them.

***

Entry a
CaCrSeBr2 (PBE, optimized geometry); total magnetic moment = 3.99 μB per cell
1.0
-0.0630 3.2973 4.3594
-1.1477 -4.2704 3.2135
5.6146 -0.9227 0.7790
Br Cr Se Ca
2 1 1 1
Direct
0.0000 0.5000 0.0000
0.5000 0.0000 0.0000
0.5000 0.5000 0.5000
0.0000 0.0000 0.5000
0.0000 0.0000 0.0000

***

Entry b
CaCrSeBr2 (PBE, optimized geometry); total magnetic moment = 4.00 μB per cell
1.0
5.0582 0.0000 0.0000
0.0000 5.0582 0.0000
0.0000 0.0000 5.2153
Ca Br Cr Se
1 2 1 1
Direct
0.5000 0.5000 0.5000
0.5000 0.0000 0.0000
0.0000 0.5000 0.0000
0.0000 0.0000 0.0000
0.0000 0.0000 0.5000

***

Short version: entry b is the most stable of them.

***

Entry a
CsCa3Br (PBE, optimized geometry); total magnetic moment = 0.00 μB per cell
1.0
6.3312 0.0000 0.0000
0.0000 6.3312 0.0000
0.0000 0.0000 6.3312
Ca Br Cs
3 1 1
Direct
0.0000 0.0000 0.5000
0.0000 0.5000 0.0000
0.5000 0.0000 0.0000
0.0000 0.0000 0.0000
0.5000 0.5000 0.5000

***

Entry b
CsCa3Br (PBE, optimized geometry); total magnetic moment = 0.00 μB per cell
1.0
-4.3778 -3.3687 5.5494
4.3660 -6.4813 -0.4901
4.8044 2.8203 5.5021
Cs Ca Br
1 3 1
Direct
0.0000 0.0000 0.0000
0.0000 0.0000 0.5000
0.0000 0.5000 0.0000
0.5000 0.0000 0.0000
0.5000 0.5000 0.5000

***

Short version: entry a is the most stable of them.

***

Entry a
CsCa2Br2 (PBE, optimized geometry); total magnetic moment = 0.00 μB per cell
1.0
5.5483 0.0000 0.0000
0.0000 5.5483 0.0000
2.7742 2.7742 6.7179
Cs Br Ca
1 2 2
Direct
0.0000 0.0000 0.0000
0.7500 0.2500 0.5000
0.2500 0.7500 0.5000
0.3625 0.3625 0.2750
0.6375 0.6375 0.7250

***

Entry b
CsCa2Br2 (PBE, optimized geometry); total magnetic moment = 0.00 μB per cell
1.0
-8.1449 2.9229 7.7183
-7.2900 -7.6317 -4.8029
1.2500 -2.6574 2.3254
Cs Br Ca
2 4 4
Direct
0.0000 0.0000 0.0000
0.5000 0.5000 0.0000
0.3941 0.1059 0.5000
0.8941 0.3941 0.5000
0.1059 0.6059 0.5000
0.6059 0.8941 0.5000
0.8881 0.6119 0.0000
0.1119 0.3881 0.0000
0.6119 0.1119 0.0000
0.3881 0.8881 0.0000

***

Short version: entry a is the most stable of them.

***

Entry a
Cs2CaBr (PBE, optimized geometry); total magnetic moment = 0.08 μB per cell
1.0
10.9996 0.0000 0.0000
0.0000 10.9996 0.0000
5.4998 5.4998 4.5997
Br Cs Ca
2 4 2
Direct
0.7500 0.2500 0.5000
0.0000 0.0000 0.0000
0.8750 0.9572 0.7500
0.3750 0.2928 0.7500
0.0428 0.6250 0.2500
0.7072 0.1250 0.2500
0.5000 0.5000 0.0000
0.2500 0.7500 0.5000

***

Entry b
Cs2CaBr (PBE, optimized geometry); total magnetic moment = 1.00 μB per cell
1.0
0.0000 5.0187 5.0187
5.0187 0.0000 5.0187
5.0187 5.0187 0.0000
Cs Ca Br
2 1 1
Direct
0.2500 0.2500 0.2500
0.7500 0.7500 0.7500
0.0000 0.0000 0.0000
0.5000 0.5000 0.5000

***

Short version: entry a is the most stable of them.

***

Entry a
Cs3Ca2Br7 (PBE, optimized geometry); total magnetic moment = 0.00 μB per cell
1.0
-3.1521 -3.1864 -3.6177
2.3257 -4.7912 2.1936
-10.4377 3.3199 10.7556
Cs Br Ca
3 7 2
Direct
0.6825 0.6825 0.3650
0.3175 0.3175 0.6350
0.5000 0.5000 0.0000
0.8048 0.8048 0.6096
0.1952 0.1952 0.3904
0.0000 0.0000 0.0000
0.9053 0.4053 0.8107
0.0947 0.5947 0.1893
0.5947 0.0947 0.1893
0.4053 0.9053 0.8107
0.9011 0.9011 0.8022
0.0989 0.0989 0.1978

***

Entry b
Cs3Ca2Br7 (PBE, optimized geometry); total magnetic moment = 0.00 μB per cell
1.0
5.6884 0.0000 0.0000
0.0000 5.8024 0.0000
0.0000 -2.9012 14.5992
Br Cs Ca
7 3 2
Direct
0.0000 0.0000 0.0000
0.5000 0.0975 0.1950
0.5000 0.9025 0.8050
0.0000 0.1983 0.3966
0.0000 0.5968 0.1936
0.0000 0.4032 0.8064
0.0000 0.8017 0.6034
0.5000 0.6842 0.3684
0.5000 0.3158 0.6316
0.5000 0.5000 0.0000
0.0000 0.8995 0.7989
0.0000 0.1005 0.2011

***

Short version: entry a is the most stable of them.

***

Entry a
CsCa2Br (PBE, optimized geometry); total magnetic moment = 0.00 μB per cell
1.0
-2.8216 6.4147 2.7020
1.0035 -2.5102 7.0073
7.6780 5.6843 4.9618
Ca Br Cs
4 2 2
Direct
0.3732 0.6250 0.2500
0.8750 0.6268 0.7500
0.3768 0.1250 0.2500
0.3750 0.6232 0.7500
0.5000 0.5000 0.0000
0.2500 0.7500 0.5000
0.0000 0.0000 0.0000
0.7500 0.2500 0.5000

***

Entry b
CsCa2Br (PBE, optimized geometry); total magnetic moment = 0.00 μB per cell
1.0
-4.1247 0.2916 5.0756
-4.5002 4.7459 0.2924
-6.3317 -1.4365 -0.8408
Cs Ca Br
1 2 1
Direct
0.5000 0.5000 0.5000
0.7500 0.7500 0.7500
0.2500 0.2500 0.2500
0.0000 0.0000 0.0000

***

Short version: entry a is the most stable of them.

***

Entry a
Cs2CaMnBr6 (PBE, optimized geometry); total magnetic moment = 5.00 μB per cell
1.0
6.9404 0.0000 0.0000
0.0000 7.9016 0.0000
0.0000 -3.9508 6.8430
Br Ca Mn Cs
6 1 1 2
Direct
0.2313 0.8393 0.1607
0.7687 0.1607 0.8393
0.7687 0.1607 0.3213
0.2313 0.3213 0.1607
0.7687 0.6787 0.8393
0.2313 0.8393 0.6787
0.5000 0.0000 0.0000
0.0000 0.0000 0.0000
0.2162 0.3333 0.6667
0.7838 0.6667 0.3333

***

Entry b
Cs2CaMnBr6 (PBE, optimized geometry); total magnetic moment = 5.00 μB per cell
1.0
7.9172 0.0000 0.0000
0.0000 7.9172 0.0000
3.9586 3.9586 5.6000
Ca Br Cs Mn
1 6 2 1
Direct
0.5000 0.5000 0.0000
0.2413 0.2413 0.0000
0.7587 0.7587 0.0000
0.2414 0.2414 0.5172
0.7587 0.2413 0.0000
0.7586 0.7586 0.4828
0.2413 0.7587 0.0000
0.2500 0.7500 0.5000
0.7500 0.2500 0.5000
0.0000 0.0000 0.0000

***

Short version: entry a is the most stable of them.

***

Entry a
Cs2CaNiBr6 (PBE, optimized geometry); total magnetic moment = 2.00 μB per cell
1.0
-2.0649 -2.8431 6.9320
-3.3639 -6.0732 -3.4929
2.0216 -7.2372 1.9905
Br Cs Ca Ni
6 2 1 1
Direct
0.2359 0.7641 0.0000
0.7641 0.7641 0.4719
0.7641 0.2359 0.0000
0.2359 0.2359 0.0000
0.7641 0.7641 0.0000
0.2359 0.2359 0.5281
0.7500 0.2500 0.5000
0.2500 0.7500 0.5000
0.5000 0.5000 0.0000
0.0000 0.0000 0.0000

***

Entry b
Cs2CaNiBr6 (PBE, optimized geometry); total magnetic moment = 3.82 μB per cell
1.0
-4.1243 -5.6192 3.5649
1.8757 -7.5224 -1.0904
7.3230 -3.8440 11.0099
Br Ca Cs Ni
12 2 4 2
Direct
0.2729 0.8059 0.1154
0.8059 0.8059 0.1154
0.3810 0.3810 0.3855
0.7271 0.1941 0.8846
0.8059 0.2729 0.1154
0.8525 0.3810 0.3855
0.1941 0.7271 0.8846
0.6190 0.6190 0.6145
0.1941 0.1941 0.8846
0.1475 0.6190 0.6145
0.6190 0.1475 0.6145
0.3810 0.8525 0.3855
0.5870 0.5870 0.2391
0.4130 0.4130 0.7609
0.8741 0.8741 0.3778
0.1259 0.1259 0.6222
0.2923 0.2923 0.1231
0.7077 0.7077 0.8769
0.5000 0.5000 0.5000
0.0000 0.0000 0.0000

***

Short version: entry b is the most stable of them.